Density functional theory data (PBE-GGA) for a relaxed HfIn3O crystal.

Summary:
As for the density: 8.74 g/cm3. Its polymorph energy (0 for the lowest one) is 0 meV per atom. As for the crystal system: cubic. The magnetic moment is 0.0 μB/f.u. As for the total energy: -23.743 eV for the cell shown. Its energy relative to the elements, uncorrected is -0.62 eV per formula unit.

Unit cell a=4.6787 b=4.6787 c=4.6787 alpha=90.00 beta=90.00 gamma=90.00
Space group Pm-3m (No. 221)
Symmetry-distinct sites (fractional):
Hf (0.0000, 0.0000, 0.0000)
In (0.0000, 0.5000, 0.5000)
O (0.5000, 0.5000, 0.5000)